FeAuF2: relaxed, GGA+U.

Values from the calculation:
The distance to the lowest polymorph of the same formula comes out at 711.5 meV/atom. The value obtained for the total energy is -15.21 eV/f.u. For the total magnetic moment, the calculation gives 3.5 μB/f.u.

Cell: 5.9786 5.9786 5.9786 Å, 90.00 90.00 90.00°
Space group Fm-3m (No. 225)
One atom of each set of equivalent atoms:
Fe 0.0000 0.0000 0.0000 [4 per cell]
Au 0.0000 0.0000 0.5000 [4 per cell]
F 0.2500 0.2500 0.2500 [8 per cell]